TbNd3 | PBE | relaxed

Geometry as POSCAR:
```
TbNd3
1.0
5.170 0.000 0.000
0.000 5.170 0.000
-2.585 -2.585 5.160
Nd Tb
3 1
direct
0.750 0.250 0.500
0.250 0.750 0.500
0.500 0.500 0.000
0.000 0.000 0.000
```

Output
The calculation puts the formation energy from the elements at 0.015 eV/atom. For the density of states at the Fermi level, the calculation gives 6.11 states/eV per cell.